Entry from Alexandria: crystalline Mg2Bi2Te at its relaxed geometry (PBE).

abc: 8.2673 8.2673 3.9577
angles: 90.00 90.00 90.00
Atoms (fractional coordinates):
Mg  0.1353  0.3647  0.0000
Mg  0.3647  0.8647  0.0000
Mg  0.6353  0.1353  0.0000
Mg  0.8647  0.6353  0.0000
Bi  0.1661  0.6661  0.5000
Bi  0.3339  0.1661  0.5000
Bi  0.6661  0.8339  0.5000
Bi  0.8339  0.3339  0.5000
Te  0.0000  0.0000  0.0000
Te  0.5000  0.5000  0.0000

## Properties
crystal system	tetragonal
DFT total energy	-0.1046	Ha/atom
uncorrected formation energy	-13	kJ/mol of formula units
Fermi-level density of states	6.2	states/eV per cell
distance to the lowest polymorph of the same formula	23.2	meV per atom